A | Compound: LaCd2W
Source: the Alexandria database
Functional: GGA-PBE
Structure: relaxed

Geometry as extended XYZ:
```
4
Lattice="4.271 0.000 0.000 0.000 4.271 0.000 0.000 0.000 4.981" Properties=species:S:1:pos:R:3 pbc="T T T"
La 0.000 0.000 0.000
Cd 0.000 2.135 2.491
Cd 2.135 0.000 2.491
W 2.135 2.135 0.000
```

Symmetry: P4/mmm

B | Compound: LaCd2W
Source: the Alexandria database
Functional: GGA-PBE
Structure: relaxed

Geometry as extended XYZ:
```
4
Lattice="1.521 0.878 10.924 -1.521 0.878 10.924 0.000 -1.756 10.924" Properties=species:S:1:pos:R:3 pbc="T T T"
La 0.000 0.000 0.000
Cd 0.000 0.000 7.895
Cd 0.000 0.000 24.878
W 0.000 0.000 16.386
```

Symmetry: R-3m

Most stable structure: B

A | Compound: LaCd2W
Source: the Alexandria database
Functional: GGA-PBE
Structure: relaxed

Geometry as extended XYZ:
```
4
Lattice="1.523 0.879 11.089 -1.523 0.879 11.089 0.000 -1.758 11.089" Properties=species:S:1:pos:R:3 pbc="T T T"
La 0.000 0.000 0.000
Cd 0.000 0.000 7.964
Cd 0.000 0.000 16.312
W 0.000 0.000 24.999
```

Symmetry: R3m

B | Compound: LaCd2W
Source: the Alexandria database
Functional: GGA-PBE
Structure: relaxed

Geometry as extended XYZ:
```
4
Lattice="0.000 3.606 3.606 3.606 0.000 3.606 3.606 3.606 0.000" Properties=species:S:1:pos:R:3 pbc="T T T"
La 0.000 0.000 0.000
Cd 1.803 1.803 1.803
Cd 5.409 5.409 5.409
W 3.606 3.606 3.606
```

Symmetry: Fm-3m

C | Compound: LaCd2W
Source: the Alexandria database
Functional: GGA-PBE
Structure: relaxed

Geometry as extended XYZ:
```
4
Lattice="2.998 -4.783 0.000 2.998 4.783 0.000 0.000 0.000 3.093" Properties=species:S:1:pos:R:3 pbc="T T T"
La 0.000 0.000 0.000
Cd 1.499 2.391 1.547
Cd 1.499 -2.391 1.547
W 2.998 0.000 0.000
```

Symmetry: Cmmm

D | Compound: LaCd2W
Source: the Alexandria database
Functional: GGA-PBE
Structure: relaxed

Geometry as extended XYZ:
```
4
Lattice="0.000 3.627 3.627 3.627 0.000 3.627 3.627 3.627 0.000" Properties=species:S:1:pos:R:3 pbc="T T T"
La 0.000 0.000 0.000
Cd 1.813 1.813 1.813
Cd 3.627 3.627 3.627
W 5.440 5.440 5.440
```

Symmetry: F-43m

Most stable structure: A

A | Compound: LaCd2W
Source: the Alexandria database
Functional: GGA-PBE
Structure: relaxed

Geometry as extended XYZ:
```
4
Lattice="5.548 -1.495 0.000 5.548 1.495 0.000 -1.594 0.000 5.470" Properties=species:S:1:pos:R:3 pbc="T T T"
La 0.000 0.000 0.000
Cd 5.343 0.000 2.916
Cd 8.209 0.000 2.087
W 1.377 0.000 4.872
```

Symmetry: Cm

B | Compound: LaCd2W
Source: the Alexandria database
Functional: GGA-PBE
Structure: relaxed

Geometry as extended XYZ:
```
4
Lattice="5.503 -1.509 0.000 5.503 1.509 0.000 -1.005 0.000 5.450" Properties=species:S:1:pos:R:3 pbc="T T T"
La 0.000 0.000 0.000
Cd 1.851 0.000 3.924
Cd 8.150 0.000 1.526
W 5.000 0.000 2.725
```

Symmetry: C2/m

Most stable structure: B

A | Compound: LaCdW3
Source: the Alexandria database
Functional: GGA-PBE
Structure: relaxed

Geometry as extended XYZ:
```
5
Lattice="4.986 0.000 0.000 0.000 4.986 0.000 0.000 0.000 4.986" Properties=species:S:1:pos:R:3 pbc="T T T"
La 0.000 0.000 0.000
Cd 2.493 2.493 2.493
W 0.000 2.493 2.493
W 2.493 0.000 2.493
W 2.493 2.493 0.000
```

Symmetry: Pm-3m

B | Compound: LaCdW3
Source: the Alexandria database
Functional: GGA-PBE
Structure: relaxed

Geometry as extended XYZ:
```
5
Lattice="4.893 0.000 0.000 0.000 4.893 0.000 0.000 0.000 4.893" Properties=species:S:1:pos:R:3 pbc="T T T"
La 0.000 0.000 0.000
Cd 2.447 2.447 2.447
W 0.000 0.000 2.447
W 0.000 2.447 0.000
W 2.447 0.000 0.000
```

Symmetry: Pm-3m

Most stable structure: A

A | Compound: LaCd3W
Source: the Alexandria database
Functional: GGA-PBE
Structure: relaxed

Geometry as extended XYZ:
```
5
Lattice="5.236 0.000 0.000 0.000 5.236 0.000 0.000 0.000 5.236" Properties=species:S:1:pos:R:3 pbc="T T T"
La 0.000 0.000 0.000
Cd 0.000 2.618 2.618
Cd 2.618 0.000 2.618
Cd 2.618 2.618 0.000
W 2.618 2.618 2.618
```

Symmetry: Pm-3m

B | Compound: LaCd3W
Source: the Alexandria database
Functional: GGA-PBE
Structure: relaxed

Geometry as extended XYZ:
```
5
Lattice="5.964 0.000 0.000 0.000 5.964 0.000 0.000 0.000 5.964" Properties=species:S:1:pos:R:3 pbc="T T T"
La 0.000 0.000 0.000
Cd 0.000 0.000 2.982
Cd 0.000 2.982 0.000
Cd 2.982 0.000 0.000
W 2.982 2.982 2.982
```

Symmetry: Pm-3m

Most stable structure: A

A | Compound: LaCdW
Source: the Alexandria database
Functional: GGA-PBE
Structure: relaxed

Geometry as extended XYZ:
```
3
Lattice="-1.465 1.465 7.721 1.465 -1.465 7.721 1.465 1.465 -7.721" Properties=species:S:1:pos:R:3 pbc="T T T"
La 0.000 0.000 0.000
Cd 0.000 0.000 4.841
W 0.000 0.000 10.343
```

Symmetry: I4mm

B | Compound: LaCdW
Source: the Alexandria database
Functional: GGA-PBE
Structure: relaxed

Geometry as extended XYZ:
```
3
Lattice="0.000 3.562 3.562 3.562 0.000 3.562 3.562 3.562 0.000" Properties=species:S:1:pos:R:3 pbc="T T T"
La 0.000 0.000 0.000
Cd 5.343 5.343 5.343
W 1.781 1.781 1.781
```

Symmetry: F-43m

C | Compound: LaCdW
Source: the Alexandria database
Functional: GGA-PBE
Structure: relaxed

Geometry as extended XYZ:
```
3
Lattice="0.000 3.485 3.485 3.485 0.000 3.485 3.485 3.485 0.000" Properties=species:S:1:pos:R:3 pbc="T T T"
La 0.000 0.000 0.000
Cd 3.485 3.485 3.485
W 5.227 5.227 5.227
```

Symmetry: F-43m

D | Compound: LaCdW
Source: the Alexandria database
Functional: GGA-PBE
Structure: relaxed

Geometry as extended XYZ:
```
3
Lattice="5.229 0.000 0.000 -2.614 4.528 0.000 0.000 0.000 2.910" Properties=species:S:1:pos:R:3 pbc="T T T"
La 0.000 0.000 0.000
Cd 0.000 3.019 1.463
W 2.614 1.509 1.447
```

Symmetry: P3m1

Most stable structure: A

A | Compound: La4YCd
Source: the Alexandria database
Functional: GGA-PBE
Structure: relaxed

Geometry as extended XYZ:
```
12
Lattice="7.677 0.000 0.000 0.000 7.807 0.000 0.000 0.000 7.800" Properties=species:S:1:pos:R:3 pbc="T T T"
La 1.865 1.879 0.000
La 1.865 2.024 3.900
La 1.875 5.786 0.238
La 1.875 5.923 4.138
La 5.801 1.883 4.138
La 5.801 2.020 0.238
La 5.812 5.782 3.900
La 5.812 5.927 0.000
Y 3.838 0.000 5.968
Y 3.838 3.903 2.068
Cd 0.000 0.000 2.071
Cd 0.000 3.903 5.971
```

Symmetry: Pnc2

B | Compound: La4YCd
Source: the Alexandria database
Functional: GGA-PBE
Structure: relaxed

Geometry as extended XYZ:
```
6
Lattice="3.765 0.000 0.000 0.000 3.765 0.000 0.000 0.000 14.344" Properties=species:S:1:pos:R:3 pbc="T T T"
La 0.000 0.000 2.130
La 0.000 0.000 12.214
La 1.883 1.883 4.666
La 1.883 1.883 9.677
Y 0.000 0.000 7.172
Cd 1.883 1.883 0.000
```

Symmetry: P4/mmm

Most stable structure: B

A | Compound: LaY2Cd2
Source: the Alexandria database
Functional: GGA-PBE
Structure: relaxed

Geometry as extended XYZ:
```
5
Lattice="-2.339 2.339 7.210 2.339 -2.339 7.210 2.339 2.339 -7.210" Properties=species:S:1:pos:R:3 pbc="T T T"
La 0.000 0.000 0.000
Y 0.000 0.000 5.586
Y 0.000 0.000 8.834
Cd 2.339 0.000 3.605
Cd 0.000 2.339 3.605
```

Symmetry: I4/mmm

B | Compound: LaY2Cd2
Source: the Alexandria database
Functional: GGA-PBE
Structure: relaxed

Geometry as extended XYZ:
```
10
Lattice="8.835 0.000 0.000 0.000 8.835 0.000 0.000 0.000 3.779" Properties=species:S:1:pos:R:3 pbc="T T T"
La 0.000 0.000 0.000
La 4.418 4.418 0.000
Y 1.498 2.920 1.889
Y 2.920 7.337 1.889
Y 5.916 1.498 1.889
Y 7.337 5.916 1.889
Cd 1.122 5.539 0.000
Cd 3.296 1.122 0.000
Cd 5.539 7.713 0.000
Cd 7.713 3.296 0.000
```

Symmetry: P4/mbm

Most stable structure: B

A | Compound: LaY4Cd
Source: the Alexandria database
Functional: GGA-PBE
Structure: relaxed

Geometry as extended XYZ:
```
6
Lattice="3.649 0.000 0.000 0.000 3.649 0.000 0.000 0.000 14.126" Properties=species:S:1:pos:R:3 pbc="T T T"
La 0.000 0.000 0.000
Y 0.000 0.000 5.063
Y 0.000 0.000 9.063
Y 1.824 1.824 2.568
Y 1.824 1.824 11.558
Cd 1.824 1.824 7.063
```

Symmetry: P4/mmm

B | Compound: LaY4Cd
Source: the Alexandria database
Functional: GGA-PBE
Structure: relaxed

Geometry as extended XYZ:
```
6
Lattice="0.000 4.625 4.625 4.625 0.000 4.625 4.625 4.625 0.000" Properties=species:S:1:pos:R:3 pbc="T T T"
La 0.000 0.000 0.000
Y 5.782 3.469 3.469
Y 3.469 5.782 3.469
Y 3.469 3.469 5.782
Y 5.782 5.782 5.782
Cd 2.313 2.313 2.313
```

Symmetry: F-43m

C | Compound: LaY4Cd
Source: the Alexandria database
Functional: GGA-PBE
Structure: relaxed

Geometry as extended XYZ:
```
12
Lattice="4.444 -7.136 0.000 4.444 7.136 0.000 -2.138 0.000 6.014" Properties=species:S:1:pos:R:3 pbc="T T T"
La 2.841 5.772 4.511
La 3.910 -5.772 1.504
Y 0.091 1.660 5.226
Y 2.599 2.692 2.723
Y 1.160 -1.660 2.219
Y 5.221 2.692 0.284
Y 1.530 -2.692 5.730
Y 5.591 1.660 3.796
Y 4.152 -2.692 3.291
Y 6.660 -1.660 0.789
Cd 3.910 0.001 1.504
Cd 2.841 -0.001 4.511
```

Symmetry: C2/c

Most stable structure: A

A | Compound: La2Y8Cd
Source: the Alexandria database
Functional: GGA-PBE
Structure: relaxed

Geometry as extended XYZ:
```
11
Lattice="9.317 -3.429 0.000 9.317 3.429 0.000 -0.210 0.000 5.838" Properties=species:S:1:pos:R:3 pbc="T T T"
La 4.076 0.000 1.501
La 14.348 0.000 4.337
Y 0.900 0.000 1.358
Y 7.033 1.777 1.503
Y 6.050 0.000 4.485
Y 11.391 1.777 4.334
Y 7.033 -1.777 1.503
Y 12.374 0.000 1.353
Y 11.391 -1.777 4.334
Y 17.524 0.000 4.480
Cd 9.317 0.000 0.000
```

Symmetry: C2/m

B | Compound: La2Y8Cd
Source: the Alexandria database
Functional: GGA-PBE
Structure: relaxed

Geometry as extended XYZ:
```
11
Lattice="9.839 -2.822 0.000 9.839 2.822 0.000 -0.595 0.000 6.456" Properties=species:S:1:pos:R:3 pbc="T T T"
La 4.613 0.000 2.167
La 14.469 0.000 4.289
Y 0.691 0.000 1.700
Y 2.500 0.000 5.220
Y 6.214 0.000 5.643
Y 8.092 0.000 2.568
Y 10.990 0.000 3.889
Y 12.869 0.000 0.813
Y 16.582 0.000 1.236
Y 18.391 0.000 4.757
Cd 9.839 0.000 0.000
```

Symmetry: C2/m

Most stable structure: B

A | Compound: La4ZnCd
Source: the Alexandria database
Functional: GGA-PBE
Structure: relaxed

Geometry as extended XYZ:
```
6
Lattice="0.000 4.599 4.599 4.599 0.000 4.599 4.599 4.599 0.000" Properties=species:S:1:pos:R:3 pbc="T T T"
La 1.149 1.149 1.149
La 3.450 3.450 1.149
La 3.450 1.149 3.450
La 1.149 3.450 3.450
Zn 6.898 6.898 6.898
Cd 4.599 4.599 4.599
```

Symmetry: F-43m

B | Compound: La4ZnCd
Source: the Alexandria database
Functional: GGA-PBE
Structure: relaxed

Geometry as extended XYZ:
```
6
Lattice="3.741 -3.741 0.000 3.741 3.741 0.000 -0.017 0.000 7.459" Properties=species:S:1:pos:R:3 pbc="T T T"
La 1.865 1.866 1.699
La 5.600 -1.866 5.761
La 1.865 -1.866 1.699
La 5.600 1.866 5.761
Zn 3.741 0.000 0.000
Cd -0.009 0.000 3.730
```

Symmetry: C2/m

C | Compound: La4ZnCd
Source: the Alexandria database
Functional: GGA-PBE
Structure: relaxed

Geometry as extended XYZ:
```
6
Lattice="3.857 0.000 0.000 0.000 3.857 0.000 0.000 0.000 12.706" Properties=species:S:1:pos:R:3 pbc="T T T"
La 0.000 0.000 1.766
La 0.000 0.000 10.940
La 1.928 1.928 4.351
La 1.928 1.928 8.355
Zn 1.928 1.928 0.000
Cd 0.000 0.000 6.353
```

Symmetry: P4/mmm

Most stable structure: C